Entry 1:
Sm2CuAu2: relaxed, PBE.

Properties
energy above the most stable polymorph in this dataset: 0.133 eV/atom
total magnetic moment: 0.000 μB per cell
total DFT energy (no corrections): -4.53 eV/atom

a = 8.494 Å, b = 8.494 Å, c = 7.523 Å
α = 90.00°, β = 90.00°, γ = 152.52°
Element x y z (fractional)
1 Sm 0.028 0.972 0.500
2 Sm 0.201 0.799 0.909
3 Sm 0.799 0.201 0.409
4 Sm 0.972 0.028 0.000
5 Cu 0.411 0.589 0.662
6 Cu 0.589 0.411 0.162
7 Au 0.178 0.822 0.291
8 Au 0.427 0.573 0.291
9 Au 0.573 0.427 0.791
10 Au 0.822 0.178 0.791

***

Entry 2:
ScRuS2Cl: relaxed, PBE.

Properties
energy above the most stable polymorph in this dataset: 0.192 eV/atom
total magnetic moment: 3.566 μB per cell
formation energy (no corrections): -0.05 eV/atom
total DFT energy (no corrections): -5.19 eV/atom

a = 4.934 Å, b = 4.934 Å, c = 4.826 Å
α = 90.00°, β = 90.00°, γ = 90.00°
Element x y z (fractional)
1 Sc 0.000 0.000 0.000
2 Ru 0.500 0.500 0.500
3 S 0.000 0.500 0.000
4 S 0.500 0.000 0.000
5 Cl 0.000 0.000 0.500